(1)
Entry from Alexandria via LeMat-Bulk: an optimized crystal structure of Dy6ErSc4 (PBE).

Geometry as CIF:
```
data_Dy6ErSc4
_symmetry_space_group_name_H-M 'P -6 m 2'
_symmetry_Int_Tables_number 187
_symmetry_space_group_name_Hall 'P -6 2'
_cell_length_a 10.5344
_cell_length_b 10.5344
_cell_length_c 3.4195
_cell_angle_alpha 90.00
_cell_angle_beta 90.00
_cell_angle_gamma 120.00
loop_
_atom_site_label
_atom_site_fract_x
_atom_site_fract_y
_atom_site_fract_z
Dy1 0.1830 0.3660 0.0000
Dy2 0.5243 0.0486 0.5000
Er1 0.0000 0.0000 0.5000
Sc1 0.3159 0.1580 0.0000
Sc2 0.3333 0.6667 0.5000
```

## Properties
- Crystal system: hexagonal
- Energy above the lowest structure with this stoichiometry: 0.0 meV per atom


(2)
Entry from Alexandria via LeMat-Bulk: an optimized crystal structure of YTl2Se (PBE).

Geometry as CIF:
```
data_YTl2Se
_symmetry_space_group_name_H-M 'P 1 m 1'
_symmetry_Int_Tables_number 6
_cell_length_a 3.989
_cell_length_b 4.029
_cell_length_c 7.090
_cell_angle_alpha 90.00
_cell_angle_beta 90.02
_cell_angle_gamma 90.00
loop_
_symmetry_equiv_pos_as_xyz
'x,y,z'
'x,-y,z'
loop_
_atom_site_label
_atom_site_fract_x
_atom_site_fract_y
_atom_site_fract_z
Y1 0.000 0.000 0.000
Tl1 0.003 0.000 0.470
Tl2 0.502 0.500 0.678
Se1 0.500 0.500 0.098
```

## Properties
- Formation energy (no corrections): -2.8 eV per formula unit
- Crystal system: monoclinic
- Energy above the lowest structure with this stoichiometry: 0.0 meV per atom


(3)
Entry from Alexandria via LeMat-Bulk: an optimized crystal structure of CsZn2Tc (PBE).

Geometry as CIF:
```
data_CsZn2Tc
_symmetry_space_group_name_H-M 'F m -3 m'
_symmetry_Int_Tables_number 225
_symmetry_space_group_name_Hall '-F 4 2 3'
_cell_length_a 7.147
_cell_length_b 7.147
_cell_length_c 7.147
_cell_angle_alpha 90.00
_cell_angle_beta 90.00
_cell_angle_gamma 90.00
loop_
_atom_site_label
_atom_site_fract_x
_atom_site_fract_y
_atom_site_fract_z
Cs1 0.000 0.000 0.000
Zn1 0.250 0.250 0.250
Tc1 0.000 0.000 0.500
```

## Properties
- Crystal system: cubic


Magnetization in μB/f.u., matching the order above: 0.00, 0.00, 2.30
Total energy in eV per cell, matching the order above: -55.75, -17.45, -35.07